Computed, not measured: Tb7Dy6Tm16 after structural relaxation at the PBE level of DFT.

a = 11.007 Å, b = 11.007 Å, c = 11.007 Å
α = 60.00°, β = 60.00°, γ = 60.00°
Positions (direct):
1 Tb 0.000 0.000 0.000
2 Tb 0.500 0.000 0.500
3 Tb 0.000 0.500 0.000
4 Tb 0.000 0.500 0.500
5 Tb 0.500 0.000 0.000
6 Tb 0.000 0.000 0.500
7 Tb 0.500 0.500 0.000
8 Dy 0.272 0.728 0.272
9 Dy 0.728 0.272 0.728
10 Dy 0.728 0.272 0.272
11 Dy 0.272 0.728 0.728
12 Dy 0.728 0.728 0.272
13 Dy 0.272 0.272 0.728
14 Tm 0.875 0.875 0.375
15 Tm 0.875 0.875 0.875
16 Tm 0.875 0.375 0.875
17 Tm 0.375 0.875 0.875
18 Tm 0.125 0.125 0.125
19 Tm 0.125 0.125 0.625
20 Tm 0.125 0.625 0.125
21 Tm 0.625 0.125 0.125
22 Tm 0.651 0.651 0.047
23 Tm 0.651 0.651 0.651
24 Tm 0.651 0.047 0.651
25 Tm 0.047 0.651 0.651
26 Tm 0.349 0.349 0.349
27 Tm 0.349 0.349 0.953
28 Tm 0.349 0.953 0.349
29 Tm 0.953 0.349 0.349

Values from the calculation:
Total DFT energy (no corrections) in eV/atom: -4.28
Energy relative to the elements in eV per formula unit: 7.52
Calculated density in g/cm³: 8.44
V in Å³ per cell: 942.9